Below is crystalline Na2Sr2Zn at its relaxed geometry, with properties calculated at the GGA-PBE level.

Cell lengths 3.972, 3.972, 12.076 Å; angles 99.47, 99.47, 90.00 degrees
Element x y z (fractional)
Na (0.799, 0.799, 0.597)
Na (0.201, 0.201, 0.403)
Sr (0.580, 0.580, 0.160)
Sr (0.420, 0.420, 0.840)
Zn (0.000, 0.000, 0.000)

Energy of formation from the pure elements = -0.08 eV per atom
SG = I4/mmm


Below is crystalline YZn11Ga at its relaxed geometry, with properties calculated at the GGA-PBE level.

Cell lengths 5.262, 6.799, 6.814 Å; angles 81.46, 67.29, 67.39 degrees
Element x y z (fractional)
Y (0.000, 0.000, 0.000)
Zn (0.278, 0.215, 0.218)
Zn (0.722, 0.785, 0.782)
Zn (0.504, 0.785, 0.218)
Zn (0.496, 0.215, 0.782)
Zn (0.348, 0.647, 0.642)
Zn (0.652, 0.353, 0.358)
Zn (0.010, 0.353, 0.642)
Zn (0.990, 0.647, 0.358)
Zn (0.000, 0.500, 0.000)
Zn (0.500, 0.000, 0.500)
Zn (0.000, 0.000, 0.500)
Ga (0.500, 0.500, 0.000)

Energy of formation from the pure elements = -0.16 eV per atom
SG = C2/m


Below is crystalline Ho3Er6Tm2Th at its relaxed geometry, with properties calculated at the GGA-PBE level.

Cell lengths 6.089, 6.089, 11.659 Å; angles 95.00, 95.00, 119.98 degrees
Element x y z (fractional)
Ho (0.167, 0.833, 0.500)
Ho (0.833, 0.167, 0.500)
Ho (0.500, 0.500, 0.500)
Er (0.917, 0.586, 0.751)
Er (0.753, 0.753, 0.249)
Er (0.083, 0.414, 0.249)
Er (0.586, 0.917, 0.751)
Er (0.247, 0.247, 0.751)
Er (0.414, 0.083, 0.249)
Tm (0.333, 0.667, 0.000)
Tm (0.667, 0.333, 0.000)
Th (0.000, 0.000, 0.000)

Energy of formation from the pure elements = 0.02 eV per atom
SG = C2/m


Below is crystalline GePbClF6 at its relaxed geometry, with properties calculated at the GGA-PBE level.

Cell lengths 6.903, 5.747, 5.207 Å; angles 81.91, 75.21, 52.27 degrees
Site moments in Bohr magnetons follow the coordinates.
Element x y z (fractional)
Ge (0.329, 0.343, 0.502)  0.00
Pb (0.726, 0.550, 0.496)  0.01
Cl (0.926, 0.157, 0.985)  0.64
F (0.178, 0.322, 0.274)  0.01
F (0.335, 0.037, 0.702)  0.10
F (0.486, 0.346, 0.732)  0.01
F (0.014, 0.613, 0.690)  0.01
F (0.369, 0.605, 0.308)  0.01
F (0.638, 0.027, 0.312)  0.06

ΔE_f (raw) = -2.007 eV per atom
SG = P1


Repeat the third record exactly.
Below is crystalline Ho3Er6Tm2Th at its relaxed geometry, with properties calculated at the GGA-PBE level.

Cell lengths 6.089, 6.089, 11.659 Å; angles 95.00, 95.00, 119.98 degrees
Element x y z (fractional)
Ho (0.167, 0.833, 0.500)
Ho (0.833, 0.167, 0.500)
Ho (0.500, 0.500, 0.500)
Er (0.917, 0.586, 0.751)
Er (0.753, 0.753, 0.249)
Er (0.083, 0.414, 0.249)
Er (0.586, 0.917, 0.751)
Er (0.247, 0.247, 0.751)
Er (0.414, 0.083, 0.249)
Tm (0.333, 0.667, 0.000)
Tm (0.667, 0.333, 0.000)
Th (0.000, 0.000, 0.000)

Energy of formation from the pure elements = 0.02 eV per atom
SG = C2/m